{
  "formula": "ZrNbCoMo",
  "functional": "PBE",
  "state": "relaxed",
  "lattice": [[6.422, 0.000, 0.000], [0.000, 6.422, 0.000], [0.000, 0.000, 6.422]],
  "species": ["Zr", "Zr", "Zr", "Zr", "Nb", "Nb", "Nb", "Nb", "Co", "Co", "Co", "Co", "Mo", "Mo", "Mo", "Mo"],
  "fractional_positions": [[0.000, 0.000, 0.000], [0.000, 0.500, 0.500], [0.500, 0.000, 0.500], [0.500, 0.500, 0.000], [0.000, 0.000, 0.500], [0.000, 0.500, 0.000], [0.500, 0.000, 0.000], [0.500, 0.500, 0.500], [0.250, 0.250, 0.750], [0.250, 0.750, 0.250], [0.750, 0.250, 0.250], [0.750, 0.750, 0.750], [0.250, 0.250, 0.250], [0.250, 0.750, 0.750], [0.750, 0.250, 0.750], [0.750, 0.750, 0.250]],
  "delta_e_f_kj_per_mol_atoms": -10,
  "space_group": "F-43m",
  "vol_a3_per_atom": 16.55,
  "e_tot_ev_per_atom": -9.24
}